Record 1
Compound: Tm2ScZnC
Source: Alexandria via LeMat-Bulk
Functional: GGA-PBE
Structure: optimized geometry Values from VASP.

Cell and atoms, written as Quantum ESPRESSO input:
```
&SYSTEM
  ibrav = 0, nat = 5, ntyp = 4
/
ATOMIC_SPECIES
Zn 65.41 Zn.upf
Sc 44.96 Sc.upf
Tm 168.93 Tm.upf
C 12.01 C.upf
CELL_PARAMETERS angstrom
4.421 0.000 0.000
0.000 4.848 0.000
0.000 0.000 4.848
ATOMIC_POSITIONS crystal
Zn 0.500 0.500 0.500
Sc 0.500 0.000 0.000
Tm 0.000 0.000 0.500
C 0.000 0.000 0.000
Tm 0.000 0.500 0.000
```

## Properties
- Formation energy: -1.72 eV per formula unit
- Symmetry: No. 123
- M_tot: 0.0 μB per cell

---

Record 2
Compound: Ce8GaGe2
Source: Alexandria via LeMat-Bulk
Functional: GGA-PBE
Structure: optimized geometry Values from VASP.

Cell and atoms, written as Quantum ESPRESSO input:
```
&SYSTEM
  ibrav = 0, nat = 11, ntyp = 3
/
ATOMIC_SPECIES
Ge 72.64 Ge.upf
Ce 140.12 Ce.upf
Ga 69.72 Ga.upf
CELL_PARAMETERS angstrom
-1.913 -2.711 3.762
7.069 -1.902 2.223
-1.809 7.930 1.451
ATOMIC_POSITIONS crystal
Ge 0.174 0.644 0.348
Ce 0.799 0.730 0.597
Ce 0.989 0.239 0.978
Ce 0.201 0.270 0.403
Ce 0.566 0.436 0.132
Ce 0.683 0.922 0.366
Ce 0.011 0.761 0.022
Ge 0.826 0.356 0.652
Ce 0.317 0.078 0.634
Ce 0.434 0.564 0.868
Ga 0.500 0.000 0.000
```

## Properties
- Formation energy: -3.75 eV per formula unit
- Symmetry: No. 12
- M_tot: 3.6 μB per cell